Record 1
Compound: Er2AlSiOs
Source: OQMD via LeMat-Bulk
Functional: PBE
Structure: relaxed

**Crystal system**: orthorhombic
**Symmetry**: Imm2, No. 44
**Spin magnetization**: 0.0 μB per cell
**Volume**: 19.9 Å³/atom

Structure (extended XYZ):
```
5
Lattice="-2.087 4.321 2.754 2.087 -4.321 2.754 2.087 4.321 -2.754" Properties=species:S:1:pos:R:3 pbc="T T T"
Er 0.000 1.723 0.000
Er 0.000 6.920 0.000
Al 0.000 0.000 2.709
Si 0.000 4.321 1.479
Os 2.087 0.000 1.254
```

Record 2
Compound: ErTmAlOs2
Source: OQMD via LeMat-Bulk
Functional: PBE
Structure: relaxed

**Crystal system**: orthorhombic
**Symmetry**: Imm2, No. 44
**Spin magnetization**: 0.0 μB per cell
**Volume**: 20.1 Å³/atom

Structure (extended XYZ):
```
5
Lattice="-2.090 2.792 4.304 2.090 -2.792 4.304 2.090 2.792 -4.304" Properties=species:S:1:pos:R:3 pbc="T T T"
Er 0.000 0.000 0.000
Tm 0.000 0.000 3.490
Al 0.000 2.792 1.745
Os 2.090 1.244 1.745
Os 0.000 1.548 6.049
```

Record 3
Compound: Er5Al2Pb
Source: OQMD via LeMat-Bulk
Functional: PBE
Structure: relaxed

**Crystal system**: tetragonal
**Symmetry**: I4/mcm, No. 140
**Spin magnetization**: 0.1 μB per cell
**Volume**: 26.8 Å³/atom

Structure (extended XYZ):
```
16
Lattice="-3.957 3.957 6.844 3.957 -3.957 6.844 3.957 3.957 -6.844" Properties=species:S:1:pos:R:3 pbc="T T T"
Er 0.000 0.000 0.000
Er 5.238 1.281 -1.994
Er 1.281 2.676 -1.994
Er 5.238 1.281 1.994
Er 1.281 2.676 1.994
Er 0.000 0.000 6.844
Er 2.676 1.281 4.850
Er -1.281 2.676 4.850
Er 2.676 1.281 8.838
Er -1.281 2.676 8.838
Al 2.946 1.011 0.000
Al 2.946 -1.011 6.844
Al 1.011 4.969 0.000
Al 1.011 2.946 6.844
Pb 0.000 0.000 3.422
Pb 0.000 0.000 10.266
```

Record 4
Compound: ErAlPbS3
Source: OQMD via LeMat-Bulk
Functional: PBE
Structure: relaxed

**Crystal system**: orthorhombic
**Symmetry**: Cmcm, No. 63
**Spin magnetization**: 0.0 μB per cell
**Volume**: 24.3 Å³/atom

Structure (extended XYZ):
```
12
Lattice="1.896 -7.268 0.000 1.896 7.268 0.000 0.000 0.000 10.565" Properties=species:S:1:pos:R:3 pbc="T T T"
Er 0.000 0.000 0.000
Er 0.000 0.000 5.283
Al 1.896 1.836 7.924
Al 1.896 -1.836 2.641
Pb 1.896 2.934 2.641
Pb 1.896 -2.934 7.924
S 1.896 6.948 2.641
S 1.896 1.920 5.434
S 1.896 1.920 10.414
S 1.896 -1.920 0.151
S 1.896 -1.920 5.131
S 1.896 -6.948 7.924
```

Record 5
Compound: ErAlPbSe3
Source: OQMD via LeMat-Bulk
Functional: PBE
Structure: relaxed

**Crystal system**: orthorhombic
**Symmetry**: Cmcm, No. 63
**Spin magnetization**: 0.0 μB per cell
**Volume**: 27.2 Å³/atom

Structure (extended XYZ):
```
12
Lattice="1.969 -7.472 0.000 1.969 7.472 0.000 0.000 0.000 11.071" Properties=species:S:1:pos:R:3 pbc="T T T"
Er 0.000 0.000 0.000
Er 0.000 0.000 5.536
Al 1.969 1.949 8.303
Al 1.969 -1.949 2.768
Pb 1.969 3.084 2.768
Pb 1.969 -3.084 8.303
Se 1.969 7.179 2.768
Se 1.969 2.032 5.613
Se 1.969 2.032 10.994
Se 1.969 -2.032 0.077
Se 1.969 -2.032 5.459
Se 1.969 -7.179 8.303
```

Record 6
Compound: Er3Al7Pd2
Source: OQMD via LeMat-Bulk
Functional: PBE
Structure: relaxed

**Crystal system**: trigonal
**Symmetry**: R-3m, No. 166
**Spin magnetization**: 0.0 μB per cell
**Volume**: 18.7 Å³/atom

Structure (extended XYZ):
```
12
Lattice="2.740 1.582 8.622 -2.740 1.582 8.622 0.000 -3.163 8.622" Properties=species:S:1:pos:R:3 pbc="T T T"
Er 0.000 0.000 0.000
Er 0.000 0.000 3.720
Er 0.000 0.000 22.145
Al -1.397 -0.807 10.694
Al 0.000 -1.613 15.171
Al -1.397 0.807 15.171
Al 0.000 0.000 12.933
Al 1.397 -0.807 10.694
Al 0.000 1.613 10.694
Al 1.397 0.807 15.171
Pd 0.000 0.000 8.680
Pd 0.000 0.000 17.185
```

Record 7
Compound: Er4Al12Pd
Source: OQMD via LeMat-Bulk
Functional: PBE
Structure: relaxed

**Crystal system**: cubic
**Symmetry**: Im-3m, No. 229
**Spin magnetization**: 0.0 μB per cell
**Volume**: 18.8 Å³/atom

Structure (extended XYZ):
```
17
Lattice="-4.306 4.306 4.306 4.306 -4.306 4.306 4.306 4.306 -4.306" Properties=species:S:1:pos:R:3 pbc="T T T"
Er 2.153 2.153 -2.153
Er 2.153 -2.153 2.153
Er -2.153 2.153 2.153
Er 2.153 2.153 2.153
Al 2.521 0.000 0.000
Al 6.092 0.000 0.000
Al 4.306 2.153 0.000
Al 4.306 0.000 2.153
Al 0.000 2.521 0.000
Al 0.000 0.000 2.521
Al 2.153 4.306 0.000
Al 2.153 0.000 4.306
Al 0.000 6.092 0.000
Al 0.000 0.000 6.092
Al 0.000 4.306 2.153
Al 0.000 2.153 4.306
Pd 0.000 0.000 0.000
```

Record 8
Compound: PrErAl2Pd4
Source: OQMD via LeMat-Bulk
Functional: PBE
Structure: relaxed

**Crystal system**: hexagonal
**Symmetry**: P-6m2, No. 187
**Spin magnetization**: 0.0 μB per cell
**Volume**: 19.3 Å³/atom

Structure (extended XYZ):
```
8
Lattice="4.384 0.000 0.000 -2.192 3.797 0.000 0.000 0.000 9.281" Properties=species:S:1:pos:R:3 pbc="T T T"
Pr 0.000 0.000 0.000
Er 0.000 2.531 4.640
Al 2.192 1.266 2.401
Al 2.192 1.266 6.879
Pd 0.000 0.000 3.135
Pd 0.000 0.000 6.145
Pd 0.000 2.531 1.730
Pd 0.000 2.531 7.550
```

| no. | uncorrected energy (eV/cell) |
| --- | --- |
| 1 | -32.10 |
| 2 | -37.49 |
| 3 | -74.07 |
| 4 | -61.69 |
| 5 | -56.18 |
| 6 | -58.48 |
| 7 | -77.15 |
| 8 | -44.82 |